First-principles (GGA-PBE) data for a relaxed BaDyCd4 crystal, as listed in Alexandria.

Computed properties:
Formation energy from the elements in eV/atom: -0.202
Final energy in eV per atom: -1.899
Crystal system: cubic

Lattice parameters (Å, degrees): 8.685 8.685 8.685 90.00 90.00 90.00
Space group F-43m (No. 216)
Unique sites:
Ba  0.000  0.000  0.000 (multiplicity 4)
Dy  0.250  0.250  0.750 (multiplicity 4)
Cd  0.124  0.124  0.376 (multiplicity 16)